# 1
DFT (PBE) results for an optimized crystal structure of HgAs2Pb.

abc: 7.2298 7.2298 7.2298
angles: 90.00 90.00 90.00
With the nearest neighbours (Å) after each atom.
Space group F-43m (No. 216)
Asymmetric unit:
Hg 0.0000 0.0000 0.0000 (multiplicity 4)  4 As 3.13, 4 Pb 3.13
As 0.0000 0.0000 0.5000 (multiplicity 4)  4 As 3.13, 4 Pb 3.13
As 0.2500 0.2500 0.2500 (multiplicity 4)  4 Hg 3.13, 4 As 3.13
Pb 0.2500 0.2500 0.7500 (multiplicity 4)  4 Hg 3.13, 4 As 3.13

---

# 2
DFT (PBE) results for an optimized crystal structure of TaTl3S4.

abc: 10.8863 11.1667 7.8023
angles: 90.00 90.00 90.00
With the nearest neighbours (Å) after each atom.
Space group Fmm2 (No. 42)
Asymmetric unit:
Ta 0.0000 0.0000 0.0000 (multiplicity 4)  4 S 2.29
Tl 0.0000 0.0000 0.4965 (multiplicity 4)  4 S 3.14-3.23
Tl 0.2500 0.2500 0.0142 (multiplicity 8)  4 S 3.17-3.20
S 0.0000 0.1686 0.8324 (multiplicity 8)  1 Ta 2.29
S 0.1705 0.0000 0.1717 (multiplicity 8)  1 Ta 2.29

---

# 3
DFT (PBE) results for an optimized crystal structure of SrNdCuSe2S.

abc: 4.1145 13.5285 10.6577
angles: 90.00 90.00 90.00
With the nearest neighbours (Å) after each atom.
Space group Cmcm (No. 63)
Asymmetric unit:
Sr 0.0000 0.2376 0.2500 (multiplicity 4)  2 S 3.04, 4 Se 3.21
Nd 0.0000 0.5000 0.0000 (multiplicity 4)  2 S 2.84, 4 Se 2.95
Cu 0.0000 0.0265 0.7500 (multiplicity 4)  2 S 2.46, 2 Se 2.49
Se 0.0000 0.1456 0.5723 (multiplicity 8)  1 Cu 2.49
S 0.0000 0.4275 0.7500 (multiplicity 4)  2 Cu 2.46

---

# 4
DFT (PBE) results for an optimized crystal structure of Ag3Hg11.

## Properties
**Calculated formation energy**: 91 meV per atom

abc: 14.0553 8.0553 6.8503
angles: 90.00 116.52 90.00
With the nearest neighbours (Å) after each atom.
Space group Cm (No. 8)
Asymmetric unit:
Ag 0.0000 0.0000 0.0000 (multiplicity 2)  1 Ag 2.91, 6 Hg 2.93-3.03
Ag 0.0180 0.5000 0.0462 (multiplicity 2)  9 Hg 2.87-3.14
Ag 0.2705 0.5000 0.7302 (multiplicity 2)  1 Ag 2.91, 6 Hg 2.92-3.25
Hg 0.0994 0.3030 0.7553 (multiplicity 4)  2 Ag 2.95-3.14, 6 Hg 2.99-3.30
Hg 0.1362 0.2281 0.3575 (multiplicity 4)  5 Hg 2.95-3.18, 3 Ag 2.98-3.25
Hg 0.2255 0.0000 0.0976 (multiplicity 2)  1 Ag 2.93, 4 Hg 2.94-3.18
Hg 0.2442 0.5000 0.1950 (multiplicity 2)  1 Ag 2.87, 7 Hg 3.02-3.20
Hg 0.3606 0.1867 0.6761 (multiplicity 4)  2 Ag 2.92-2.93, 4 Hg 2.95-3.15
Hg 0.3924 0.2429 0.1568 (multiplicity 4)  5 Hg 2.94-3.17, 2 Ag 2.95-3.03
Hg 0.4705 0.5000 0.5479 (multiplicity 2)  1 Ag 2.94, 7 Hg 2.99-3.28

---

# 5
DFT (PBE) results for an optimized crystal structure of SiGeW4C2.

abc: 3.1433 3.1433 12.4506
angles: 90.00 90.00 120.00
With the nearest neighbours (Å) after each atom.
Space group P-6m2 (No. 187)
Asymmetric unit:
Si 0.0000 0.0000 0.0000 (multiplicity 1)  6 W 2.62
Ge 0.3333 0.6667 0.5000 (multiplicity 1)  6 W 2.73
W 0.0000 0.0000 0.3364 (multiplicity 2)  3 C 2.13
W 0.3333 0.6667 0.1522 (multiplicity 2)  3 C 2.16
C 0.6667 0.3333 0.2468 (multiplicity 2)  6 W 2.13-2.16

---

# 6
DFT (PBE) results for an optimized crystal structure of BeCdFeMo.

abc: 5.9715 5.9715 5.9715
angles: 90.00 90.00 90.00
With the nearest neighbours (Å) after each atom.
Space group F-43m (No. 216)
Asymmetric unit:
Be 0.0000 0.0000 0.0000 (multiplicity 4)  4 Cd 2.59, 4 Mo 2.59
Cd 0.2500 0.2500 0.2500 (multiplicity 4)  4 Fe 2.59, 4 Be 2.59
Fe 0.0000 0.0000 0.5000 (multiplicity 4)  4 Cd 2.59, 4 Mo 2.59
Mo 0.2500 0.2500 0.7500 (multiplicity 4)  4 Fe 2.59, 4 Be 2.59

---

# 7
DFT (PBE) results for an optimized crystal structure of ZrTaSiNi.

abc: 6.3317 6.3317 6.3317
angles: 90.00 90.00 90.00
With the nearest neighbours (Å) after each atom.
Space group F-43m (No. 216)
Asymmetric unit:
Zr 0.0000 0.0000 0.0000 (multiplicity 4)  4 Ni 2.74, 4 Ta 2.74
Ta 0.2500 0.2500 0.2500 (multiplicity 4)  4 Zr 2.74, 4 Si 2.74
Si 0.0000 0.0000 0.5000 (multiplicity 4)  4 Ta 2.74, 4 Ni 2.74
Ni 0.2500 0.2500 0.7500 (multiplicity 4)  4 Zr 2.74, 4 Si 2.74

---

# 8
DFT (PBE) results for an optimized crystal structure of PrGa2CuPd.

abc: 4.2487 4.2487 10.3108
angles: 90.00 90.00 90.00
With the nearest neighbours (Å) after each atom.
Space group P4/nmm (No. 129, origin choice 2)
Asymmetric unit:
Pr 0.2500 0.2500 0.2434 (multiplicity 2)  4 Cu 3.24, 8 Ga 3.25-3.29, 4 Pd 3.39
Ga 0.2500 0.2500 0.6374 (multiplicity 2)  1 Cu 2.44, 4 Pd 2.55
Ga 0.2500 0.7500 0.0000 (multiplicity 2)  4 Cu 2.49
Cu 0.2500 0.2500 0.8736 (multiplicity 2)  5 Ga 2.44-2.49
Pd 0.2500 0.7500 0.5000 (multiplicity 2)  4 Ga 2.55

---

no.,calculated total energy (eV for the cell shown)
1,-48.231
2,-163.811
3,-123.106
4,-20.949
5,-79.285
6,-90.175
7,-123.844
8,-45.665